10
Lattice="6.168 0.000 0.000 3.084 5.341 0.000 3.084 1.781 5.423" Properties=species:S:1:pos:R:3 comment="KLa2BiO6 | Alexandria via LeMat-Bulk | PBE-GGA | relaxed" spacegroup="R3, No. 146" formation_energy_uncorrected_mev_per_atom=-2278 pbc="T T T"
K 9.251 5.341 3.375
La 6.168 3.561 2.278
La 3.084 1.781 5.112
Bi 3.084 1.780 0.207
O 4.979 1.724 1.235
O 5.172 5.509 1.235
O 8.353 3.450 1.235
O 6.769 5.073 4.173
O 7.177 2.284 4.173
O 4.558 3.325 4.173


10
Lattice="-5.010 -1.727 -2.947 -5.329 2.580 1.309 -2.615 3.746 -3.987" Properties=species:S:1:pos:R:3 comment="KLaYBiO6 | Alexandria via LeMat-Bulk | PBE-GGA | relaxed" spacegroup="F-43m, No. 216" formation_energy_uncorrected_mev_per_atom=-2154 pbc="T T T"
K -9.716 3.449 -4.219
La -3.239 1.150 -1.406
Y -6.477 2.300 -2.813
Bi 0.000 0.000 0.000
O -5.890 2.443 -0.705
O -7.065 2.156 -4.921
O -7.228 4.359 -2.744
O -5.727 0.240 -2.882
O -4.502 3.039 -3.414
O -8.453 1.560 -2.212


8
Lattice="4.235 0.000 0.000 0.000 7.304 0.120 0.000 -2.562 7.360" Properties=species:S:1:pos:R:3 comment="K2LaBiS4 | Alexandria via LeMat-Bulk | PBE-GGA | relaxed" spacegroup="P2/m, No. 10" formation_energy_uncorrected_mev_per_atom=-1364 pbc="T T T"
K 2.117 -1.281 3.680
K 0.000 2.371 3.740
La 2.117 3.652 0.060
Bi 0.000 0.000 0.000
S 2.117 1.170 1.572
S 2.117 3.571 5.908
S 0.000 -0.121 5.851
S 0.000 4.863 1.629